1.
Compound: LaCe4Th
Source: the Alexandria database
Functional: PBE
Structure: optimized geometry

POSCAR file:
```
LaCe4Th
1.0
3.442 0.000 0.000
0.000 3.442 0.000
0.000 0.000 14.601
La Ce Th
1 4 1
Direct
0.000 0.000 0.000
0.000 0.000 0.333
0.000 0.000 0.667
0.500 0.500 0.176
0.500 0.500 0.824
0.500 0.500 0.500
```

Calculated values
E above lowest polymorph = 0 meV per atom
final energy = -5.9668 eV per atom
space group = P4/mmm
spin magnetization = 0.00 μB per cell
energy relative to the elements = 0.047 eV/atom



2.
Compound: Ga2HgAuF
Source: the Alexandria database
Functional: PBE
Structure: optimized geometry

POSCAR file:
```
Ga2HgAuF
1.0
4.575 0.000 0.000
0.000 4.575 0.000
0.000 0.000 5.330
Ga Hg Au F
2 1 1 1
Direct
0.000 0.500 0.000
0.500 0.000 0.000
0.000 0.000 0.500
0.500 0.500 0.500
0.000 0.000 0.000
```

Calculated values
final energy = -2.5982 eV per atom
space group = P4/mmm
uncorrected formation energy = -0.2974 eV per atom
spin magnetization = 0.00 μB per cell



3.
Compound: Ba3Sr2Tl4Ag2
Source: the Alexandria database
Functional: PBE
Structure: optimized geometry

POSCAR file:
```
Ba3Sr2Tl4Ag2
1.0
5.478 0.000 0.000
-2.739 4.744 0.000
0.000 0.000 15.713
Ba Sr Tl Ag
3 2 4 2
Direct
0.000 0.000 0.000
0.000 0.000 0.245
0.000 0.000 0.755
0.333 0.667 0.577
0.667 0.333 0.423
0.333 0.667 0.344
0.333 0.667 0.869
0.667 0.333 0.131
0.667 0.333 0.656
0.333 0.667 0.137
0.667 0.333 0.863
```

Calculated values
final energy = -2.4176 eV per atom
space group = P-3m1
spin magnetization = 0.00 μB per cell
energy relative to the elements = -0.209 eV/atom



4.
Compound: CdCuSe2N
Source: the Alexandria database
Functional: PBE
Structure: optimized geometry

POSCAR file:
```
CdCuSe2N
1.0
5.142 0.000 0.000
0.000 5.142 0.000
0.000 0.000 3.562
Cd Cu Se N
1 1 2 1
Direct
0.000 0.000 0.000
0.500 0.500 0.500
0.000 0.500 0.500
0.500 0.000 0.500
0.500 0.500 0.000
```

Calculated values
E above lowest polymorph = 0 meV per atom
final energy = -3.3980 eV per atom
space group = P4/mmm
uncorrected formation energy = 0.6631 eV per atom
spin magnetization = 1.15 μB per cell



5.
Compound: La6Cd2Ag
Source: the Alexandria database
Functional: PBE
Structure: optimized geometry

POSCAR file:
```
La6Cd2Ag
1.0
5.629 0.000 0.000
-2.814 4.875 0.000
0.000 0.000 10.525
La Cd Ag
6 2 1
Direct
0.000 0.000 0.183
0.000 0.000 0.817
0.333 0.667 0.022
0.333 0.667 0.392
0.667 0.333 0.608
0.667 0.333 0.978
0.333 0.667 0.714
0.667 0.333 0.286
0.000 0.000 0.500
```

Calculated values
E above lowest polymorph = 0 meV per atom
final energy = -3.9741 eV per atom
space group = P-3m1
spin magnetization = 0.01 μB per cell
energy relative to the elements = -0.169 eV/atom



6.
Compound: AsPb4
Source: the Alexandria database
Functional: PBE
Structure: optimized geometry

POSCAR file:
```
AsPb4
1.0
-2.142 2.142 8.742
2.142 -2.142 8.742
2.142 2.142 -8.742
As Pb
1 4
Direct
0.000 0.000 0.000
0.250 0.750 0.500
0.411 0.411 0.000
0.589 0.589 0.000
0.750 0.250 0.500
```

Calculated values
E above lowest polymorph = 249 meV per atom
final energy = -3.6038 eV per atom
space group = I4/mmm
spin magnetization = 0.00 μB per cell
energy relative to the elements = 0.293 eV/atom



7.
Compound: Rh2C
Source: the Alexandria database
Functional: PBE
Structure: optimized geometry

POSCAR file:
```
Rh2C
1.0
4.838 0.000 0.000
0.000 4.838 0.000
0.000 0.000 3.111
Rh C
4 2
Direct
0.201 0.201 0.000
0.299 0.701 0.500
0.701 0.299 0.500
0.799 0.799 0.000
0.000 0.000 0.500
0.500 0.500 0.000
```

Calculated values
E above lowest polymorph = 0 meV per atom
final energy = -7.7837 eV per atom
space group = P4_2/mnm
spin magnetization = 0.00 μB per cell
energy relative to the elements = 0.192 eV/atom



8.
Compound: Nd4Sm5Tl2
Source: the Alexandria database
Functional: PBE
Structure: optimized geometry

POSCAR file:
```
Nd4Sm5Tl2
1.0
2.665 1.539 15.985
-2.665 1.539 15.985
0.000 -3.077 15.985
Nd Sm Tl
4 5 2
Direct
0.074 0.074 0.074
0.225 0.225 0.225
0.775 0.775 0.775
0.926 0.926 0.926
0.000 0.000 0.000
0.149 0.149 0.149
0.302 0.302 0.302
0.698 0.698 0.698
0.851 0.851 0.851
0.380 0.380 0.380
0.620 0.620 0.620
```

Calculated values
final energy = -4.0844 eV per atom
space group = R-3m
spin magnetization = 0.08 μB per cell
energy relative to the elements = 0.225 eV/atom



9.
Compound: PBr2N
Source: the Alexandria database
Functional: PBE
Structure: optimized geometry

POSCAR file:
```
PBr2N
1.0
-3.438 3.438 4.859
3.438 -3.438 4.859
3.438 3.438 -4.859
P Br N
2 4 2
Direct
0.375 0.625 0.750
0.625 0.375 0.250
0.000 0.000 0.000
0.000 0.000 0.500
0.000 0.500 0.000
0.500 0.000 0.500
0.125 0.875 0.250
0.875 0.125 0.750
```

Calculated values
E above lowest polymorph = 1899 meV per atom
final energy = -2.6885 eV per atom
space group = I4_1/amd
uncorrected formation energy = 1.5818 eV per atom
spin magnetization = 4.00 μB per cell



10.
Compound: La2MgAu
Source: the Alexandria database
Functional: PBE
Structure: optimized geometry

POSCAR file:
```
La2MgAu
1.0
-1.920 2.633 5.583
1.920 -2.633 5.583
1.920 2.633 -5.583
La Mg Au
2 1 1
Direct
0.000 0.000 0.000
0.706 0.206 0.500
0.419 0.419 0.000
0.238 0.738 0.500
```

Calculated values
final energy = -4.0922 eV per atom
space group = Imm2
spin magnetization = 0.00 μB per cell
energy relative to the elements = -0.411 eV/atom



11.
Compound: ReRh2Se
Source: the Alexandria database
Functional: PBE
Structure: optimized geometry

POSCAR file:
```
ReRh2Se
1.0
2.944 0.000 0.000
0.000 2.944 0.000
0.000 0.000 6.938
Re Rh Se
1 2 1
Direct
0.000 0.000 0.000
0.000 0.000 0.523
0.500 0.500 0.236
0.500 0.500 0.754
```

Calculated values
final energy = -7.4320 eV per atom
space group = P4mm
uncorrected formation energy = 0.2269 eV per atom
spin magnetization = 0.00 μB per cell



12.
Compound: Sr7PtN6
Source: the Alexandria database
Functional: PBE
Structure: optimized geometry

POSCAR file:
```
Sr7PtN6
1.0
-3.380 6.250 6.555
3.380 -6.250 6.555
3.380 6.250 -6.555
Sr Pt N
14 2 12
Direct
0.047 0.229 0.276
0.086 0.506 0.855
0.151 0.006 0.420
0.250 0.250 0.000
0.349 0.769 0.855
0.414 0.269 0.420
0.453 0.729 0.183
0.547 0.271 0.817
0.586 0.731 0.580
0.651 0.231 0.145
0.750 0.750 0.000
0.849 0.994 0.580
0.914 0.494 0.145
0.953 0.771 0.724
0.250 0.750 0.500
0.750 0.250 0.500
0.080 0.887 0.573
0.145 0.898 0.044
0.185 0.613 0.193
0.315 0.507 0.427
0.355 0.398 0.753
0.420 0.993 0.807
0.580 0.007 0.193
0.645 0.602 0.247
0.685 0.493 0.573
0.815 0.387 0.807
0.855 0.102 0.956
0.920 0.113 0.427
```

Calculated values
final energy = -5.2308 eV per atom
space group = Ibam
uncorrected formation energy = -0.3904 eV per atom
spin magnetization = 0.00 μB per cell



- What is the final energy in the twelfth record?
  -5.2308 eV per atom



- Which value of final energy does entry 12 give?
  -5.2308 eV per atom